Run w
DFT (PBE) results for a relaxed structure of LaTlAg2.

Cell and atoms, written as extended XYZ:
```
8
Lattice="3.039 0.177 -4.220 -5.124 0.782 -0.450 1.157 8.260 1.181" Properties=species:S:1:pos:R:3 pbc="T T T"
Ag -1.354 8.067 -0.636
Tl -2.114 2.646 -1.411
La 0.000 0.000 0.000
Ag 0.427 1.153 -2.852
La 0.579 4.130 0.590
Ag 0.788 3.735 -2.483
Ag -1.716 5.485 -1.005
Tl 1.186 6.574 -2.077
```

Run x
DFT (PBE) results for a relaxed structure of LaTlAg2.

Cell and atoms, written as extended XYZ:
```
4
Lattice="0.970 -0.306 5.023 -1.232 3.898 3.090 -3.863 -0.493 3.331" Properties=species:S:1:pos:R:3 pbc="T T T"
Ag -3.094 2.325 8.582
Ag 0.000 0.000 0.000
Tl -2.062 1.550 5.722
La -1.031 0.775 2.861
```

Run y
DFT (PBE) results for a relaxed structure of LaTlAg2.

Cell and atoms, written as extended XYZ:
```
4
Lattice="3.835 0.000 0.000 0.000 3.835 0.000 0.000 0.000 6.916" Properties=species:S:1:pos:R:3 pbc="T T T"
La 0.000 0.000 3.458
Ag 1.917 1.917 1.641
Tl 0.000 0.000 0.000
Ag 1.917 1.917 5.275
```

Run z
DFT (PBE) results for a relaxed structure of LaTlAg2.

Cell and atoms, written as extended XYZ:
```
24
Lattice="5.151 0.000 0.000 0.000 7.230 0.000 0.000 0.000 15.451" Properties=species:S:1:pos:R:3 pbc="T T T"
Tl 2.575 3.615 12.877
Ag 0.001 5.424 2.575
La 2.575 0.000 12.875
Ag 5.151 1.806 12.877
La 2.576 0.000 7.726
La 2.576 0.000 2.576
Ag 0.000 5.422 7.726
Ag 2.576 5.423 0.000
Ag 2.576 5.421 5.151
Tl 2.576 3.615 7.726
Ag 2.575 5.421 10.300
Tl 2.576 3.615 2.574
Ag 0.001 1.806 2.575
Tl 5.151 0.000 10.300
La 0.000 3.615 5.149
Ag 2.575 1.809 10.300
Tl 0.001 0.000 5.151
La 0.000 3.615 10.302
Ag 2.576 1.809 5.151
Ag 5.151 5.424 12.877
La 0.000 3.615 0.000
Tl 0.000 0.000 0.000
Ag 2.576 1.807 0.000
Ag 0.000 1.808 7.726
```

Verdict on stability: run z comes out on top.

Run w
DFT (PBE) results for a relaxed structure of LaTlAg2.

Cell and atoms, written as extended XYZ:
```
4
Lattice="4.857 0.000 0.000 0.000 4.857 0.000 0.000 0.000 4.300" Properties=species:S:1:pos:R:3 pbc="T T T"
Ag 2.429 0.000 2.150
Ag 0.000 2.429 2.150
Tl 0.000 0.000 0.000
La 2.429 2.429 0.000
```

Run x
DFT (PBE) results for a relaxed structure of LaTlAg2.

Cell and atoms, written as extended XYZ:
```
16
Lattice="5.811 0.000 0.000 0.000 7.329 0.000 0.000 0.000 9.279" Properties=species:S:1:pos:R:3 pbc="T T T"
Tl 0.942 1.832 5.501
Tl 3.847 5.497 8.417
Ag 0.761 3.329 2.927
La 0.945 5.497 0.634
La 4.866 1.832 8.645
Tl 4.869 5.497 3.778
La 3.850 1.832 4.006
Tl 1.963 1.832 0.862
La 1.961 5.497 5.273
Ag 3.667 6.993 1.712
Ag 2.144 3.329 7.567
Ag 5.049 4.000 6.352
Ag 0.761 0.336 2.927
Ag 2.144 0.336 7.567
Ag 5.049 6.993 6.352
Ag 3.667 4.000 1.712
```

Verdict on stability: run x comes out on top.

Run w
DFT (PBE) results for a relaxed structure of LaAgW.

Cell and atoms, written as extended XYZ:
```
3
Lattice="0.000 3.314 3.314 3.314 0.000 3.314 3.314 3.314 0.000" Properties=species:S:1:pos:R:3 pbc="T T T"
Ag 1.657 1.657 1.657
La 4.971 4.971 4.971
W 0.000 0.000 0.000
```

Run x
DFT (PBE) results for a relaxed structure of LaAgW.

Cell and atoms, written as extended XYZ:
```
3
Lattice="-4.830 0.009 0.712 -2.387 4.231 0.490 -2.987 1.542 -3.541" Properties=species:S:1:pos:R:3 pbc="T T T"
W -7.653 4.336 -1.754
Ag -2.551 1.445 -0.585
La 0.000 0.000 0.000
```

Verdict on stability: run w comes out on top.

Run w
DFT (PBE) results for a relaxed structure of LaZrAg.

Cell and atoms, written as extended XYZ:
```
3
Lattice="0.000 3.525 3.525 3.525 0.000 3.525 3.525 3.525 0.000" Properties=species:S:1:pos:R:3 pbc="T T T"
Ag 0.000 0.000 0.000
La 1.762 1.762 1.762
Zr 5.287 5.287 5.287
```

Run x
DFT (PBE) results for a relaxed structure of LaZrAg.

Cell and atoms, written as extended XYZ:
```
3
Lattice="-2.875 2.049 3.385 -4.863 -0.376 -0.368 -2.479 -2.820 3.135" Properties=species:S:1:pos:R:3 pbc="T T T"
La 0.000 0.000 0.000
Ag -2.554 -0.287 1.538
Zr -7.662 -0.861 4.614
```

Verdict on stability: run w comes out on top.

Run w
DFT (PBE) results for a relaxed structure of LiMg2Ag.

Cell and atoms, written as extended XYZ:
```
16
Lattice="6.532 0.000 0.000 0.000 7.000 0.000 0.000 0.000 6.528" Properties=species:S:1:pos:R:3 pbc="T T T"
Li 6.523 1.750 3.265
Mg 1.633 0.006 1.632
Mg 1.633 3.494 4.896
Li 3.275 1.750 0.000
Ag 3.258 5.250 3.264
Ag 0.008 5.250 0.000
Mg 4.899 6.994 1.632
Mg 4.899 6.994 4.896
Mg 4.899 3.506 1.632
Li 0.009 5.250 3.264
Ag 6.523 1.750 0.000
Mg 1.633 3.494 1.632
Mg 4.899 3.506 4.896
Ag 3.274 1.750 3.264
Mg 1.633 0.006 4.896
Li 3.257 5.250 0.000
```

Run x
DFT (PBE) results for a relaxed structure of LiMg2Ag.

Cell and atoms, written as extended XYZ:
```
8
Lattice="-3.190 2.843 -1.813 -1.151 -4.347 1.152 -2.317 2.900 8.626" Properties=species:S:1:pos:R:3 pbc="T T T"
Ag -1.158 1.450 4.313
Li -2.410 -1.225 2.320
Mg -3.190 -0.249 5.225
Mg -3.946 0.698 8.041
Mg -3.468 1.645 2.740
Mg -2.712 0.698 -0.076
Ag 0.000 0.000 0.000
Li -4.248 2.621 5.645
```

Run y
DFT (PBE) results for a relaxed structure of LiMg2Ag.

Cell and atoms, written as extended XYZ:
```
8
Lattice="2.377 -4.117 0.000 2.377 4.117 0.000 0.000 0.000 8.357" Properties=species:S:1:pos:R:3 pbc="T T T"
Mg 2.377 1.372 4.883
Mg 2.377 -1.372 0.704
Li 0.000 0.000 0.000
Mg 2.377 -1.372 3.474
Mg 2.377 1.372 7.653
Ag 2.377 1.372 2.089
Ag 2.377 -1.372 6.268
Li 0.000 0.000 4.179
```

Run z
DFT (PBE) results for a relaxed structure of LiMg2Ag.

Cell and atoms, written as extended XYZ:
```
4
Lattice="3.210 2.766 2.076 -0.868 1.836 4.259 2.373 -1.558 3.769" Properties=species:S:1:pos:R:3 pbc="T T T"
Mg 0.000 0.000 0.000
Ag 1.179 0.761 2.526
Mg 3.536 2.283 7.578
Li 2.357 1.522 5.052
```

Verdict on stability: run w comes out on top.

Run w
DFT (PBE) results for a relaxed structure of LiMg2Ag.

Cell and atoms, written as extended XYZ:
```
4
Lattice="3.408 0.000 0.000 0.000 4.663 0.000 0.000 0.000 4.663" Properties=species:S:1:pos:R:3 pbc="T T T"
Li 0.000 2.331 1.176
Mg 1.704 2.331 3.504
Ag 0.000 0.000 3.487
Mg 1.704 0.000 1.158
```

Run x
DFT (PBE) results for a relaxed structure of LiMg2Ag.

Cell and atoms, written as extended XYZ:
```
24
Lattice="-0.599 2.424 3.978 3.520 -4.572 3.315 11.837 7.216 -2.615" Properties=species:S:1:pos:R:3 pbc="T T T"
Li 9.564 7.225 -0.192
Li 9.053 4.948 3.891
Ag 11.324 4.941 1.470
Mg 2.254 2.484 4.369
Mg 4.527 2.472 1.945
Mg 12.504 2.585 0.309
Mg 6.798 2.466 -0.479
Li 1.673 2.416 1.555
Ag 7.379 2.534 2.339
Ag 3.434 0.127 3.208
Mg 6.285 0.188 3.601
Ag 0.000 0.000 0.000
Li 5.705 0.120 0.787
Ag 7.890 4.813 -1.741
Li 1.760 -2.286 1.658
Mg 8.559 0.178 1.179
Mg 8.472 4.880 1.077
Mg 0.581 0.068 2.818
Mg 10.231 2.596 2.733
Mg 2.340 -2.216 4.475
Li 5.619 4.820 0.681
Mg 10.743 4.873 -1.350
Ag 3.348 4.828 3.104
Mg 4.015 0.196 6.028
```

Run y
DFT (PBE) results for a relaxed structure of LiMg2Ag.

Cell and atoms, written as extended XYZ:
```
8
Lattice="1.445 2.171 3.688 -1.574 2.341 -3.527 -8.539 -0.371 3.565" Properties=species:S:1:pos:R:3 pbc="T T T"
Li -6.972 2.006 1.551
Mg -4.583 2.009 3.379
Mg -4.085 2.131 0.346
Mg -1.321 2.252 -0.808
Li -1.696 2.135 2.174
Ag -2.135 -0.093 0.891
Ag -6.404 -0.279 2.674
Mg -7.347 1.889 4.533
```

Verdict on stability: run x comes out on top.

Run w
DFT (PBE) results for a relaxed structure of LiMgNiAg.

Cell and atoms, written as extended XYZ:
```
4
Lattice="0.000 3.107 3.107 3.107 0.000 3.107 3.107 3.107 0.000" Properties=species:S:1:pos:R:3 pbc="T T T"
Li 4.661 4.661 4.661
Ni 3.107 3.107 3.107
Mg 1.554 1.554 1.554
Ag 0.000 0.000 0.000
```

Run x
DFT (PBE) results for a relaxed structure of LiMgNiAg.

Cell and atoms, written as extended XYZ:
```
4
Lattice="0.000 3.092 3.092 3.092 0.000 3.092 3.092 3.092 0.000" Properties=species:S:1:pos:R:3 pbc="T T T"
Li 4.637 4.637 4.637
Mg 3.092 3.092 3.092
Ag 0.000 0.000 0.000
Ni 1.546 1.546 1.546
```

Verdict on stability: run x comes out on top.

Run w
DFT (PBE) results for a relaxed structure of LiMgSiAg.

Cell and atoms, written as extended XYZ:
```
4
Lattice="-0.966 -4.183 -1.373 -3.641 -0.751 -2.550 0.480 -1.114 -4.341" Properties=species:S:1:pos:R:3 pbc="T T T"
Si -1.032 -1.512 -2.066
Mg 0.000 0.000 0.000
Li -3.095 -4.536 -6.198
Ag -2.064 -3.024 -4.132
```

Run x
DFT (PBE) results for a relaxed structure of LiMgSiAg.

Cell and atoms, written as extended XYZ:
```
4
Lattice="0.000 3.177 3.177 3.177 0.000 3.177 3.177 3.177 0.000" Properties=species:S:1:pos:R:3 pbc="T T T"
Si 0.000 0.000 0.000
Li 4.765 4.765 4.765
Ag 1.588 1.588 1.588
Mg 3.177 3.177 3.177
```

Verdict on stability: run w comes out on top.

Run w
DFT (PBE) results for a relaxed structure of LiMgTlAg.

Cell and atoms, written as extended XYZ:
```
4
Lattice="-1.666 -3.908 2.253 -3.584 0.403 3.180 -4.365 -1.713 -1.067" Properties=species:S:1:pos:R:3 pbc="T T T"
Ag 0.000 0.000 0.000
Mg -2.404 -1.304 1.091
Li -7.211 -3.913 3.274
Tl -4.808 -2.609 2.183
```

Run x
DFT (PBE) results for a relaxed structure of LiMgTlAg.

Cell and atoms, written as extended XYZ:
```
4
Lattice="3.389 0.000 0.000 0.000 3.389 0.000 0.000 0.000 6.852" Properties=species:S:1:pos:R:3 pbc="T T T"
Tl 0.000 0.000 4.993
Li 1.695 1.695 3.269
Mg 1.695 1.695 0.207
Ag 0.000 0.000 1.810
```

Verdict on stability: run x comes out on top.

Run w
DFT (PBE) results for a relaxed structure of LiNiAgSn.

Cell and atoms, written as extended XYZ:
```
4
Lattice="0.000 3.145 3.145 3.145 0.000 3.145 3.145 3.145 0.000" Properties=species:S:1:pos:R:3 pbc="T T T"
Sn 0.000 0.000 0.000
Ag 3.145 3.145 3.145
Ni 1.572 1.572 1.572
Li 4.717 4.717 4.717
```

Run x
DFT (PBE) results for a relaxed structure of LiNiAgSn.

Cell and atoms, written as extended XYZ:
```
4
Lattice="3.824 -1.085 2.062 1.414 2.403 3.504 -0.098 -1.768 4.113" Properties=species:S:1:pos:R:3 pbc="T T T"
Sn 1.285 -0.113 2.420
Ag 0.000 0.000 0.000
Ni 2.570 -0.225 4.840
Li 3.854 -0.338 7.260
```

Verdict on stability: run w comes out on top.